Compound: MnHgN2O
Source: Alexandria
Functional: PBE+U
Structure: optimized geometry

The structure belongs to space group P4/mmm (No. 123); the cell edges are 3.574, 3.574 and 6.207 Å and the angles 90.00°, 90.00° and 90.00°. Symmetry generates all atoms from Mn at (0.000, 0.000, 0.000), Hg at (0.000, 0.000, 0.500), N at (0.000, 0.500, 0.000) and O at (0.500, 0.500, 0.500).

Its total energy is -23.77 eV/f.u. Its size of the total moment is 0.9 μB/f.u.